{"formula": "NaMnSi2Se6", "functional": "PBE-GGA", "state": "relaxed", "dos_ef_per_ev_cell": 5.41, "e_form_raw_ev_per_atom": -0.4282, "lattice": [[-4.219, -1.108, -5.199], [-2.347, -8.856, 0.849], [-8.296, 2.186, 3.324]], "species": ["Na", "Na", "Mn", "Mn", "Si", "Si", "Si", "Si", "Se", "Se", "Se", "Se", "Se", "Se", "Se", "Se", "Se", "Se", "Se", "Se"], "fractional_positions": [[0.250, 0.861, 0.139], [0.750, 0.139, 0.861], [0.250, 0.210, 0.790], [0.750, 0.790, 0.210], [0.309, 0.779, 0.630], [0.191, 0.370, 0.221], [0.691, 0.221, 0.370], [0.809, 0.630, 0.779], [0.179, 0.956, 0.822], [0.321, 0.178, 0.044], [0.821, 0.044, 0.178], [0.679, 0.822, 0.956], [0.424, 0.882, 0.403], [0.076, 0.597, 0.118], [0.576, 0.118, 0.597], [0.924, 0.403, 0.882], [0.039, 0.695, 0.570], [0.461, 0.430, 0.305], [0.961, 0.305, 0.430], [0.539, 0.570, 0.695]]}

{"formula": "SnSbP2", "functional": "PBE-GGA", "state": "relaxed", "de_polymorph_mev_per_atom": 194, "dos_ef_per_ev_cell": 4.23, "e_form_raw_ev_per_atom": 0.2716, "lattice": [[-5.072, -2.802, 3.684], [-2.372, -3.119, -5.639], [-1.183, -6.435, -0.124]], "species": ["Sb", "Sb", "Sn", "Sn", "P", "P", "P", "P"], "fractional_positions": [[0.000, 0.000, 0.000], [0.750, 0.250, 0.500], [0.500, 0.500, 0.000], [0.250, 0.750, 0.500], [0.617, 0.125, 0.250], [0.133, 0.625, 0.250], [0.375, 0.383, 0.750], [0.875, 0.867, 0.750]]}

{"formula": "Nd5DyEr6", "functional": "PBE-GGA", "state": "relaxed", "dos_ef_per_ev_cell": 16.16, "energy_ev_per_atom": -4.63, "lattice": [[-1.449, 3.784, 3.079], [-9.552, -2.992, -0.825], [6.409, -4.960, 4.910]], "species": ["Er", "Er", "Er", "Er", "Er", "Er", "Nd", "Nd", "Nd", "Nd", "Nd", "Dy"], "fractional_positions": [[0.834, 0.584, 0.667], [0.834, 0.083, 0.667], [0.500, 0.752, 0.000], [0.500, 0.248, 0.000], [0.166, 0.917, 0.333], [0.166, 0.416, 0.333], [0.665, 0.165, 0.331], [0.333, 0.333, 0.667], [0.000, 0.500, 0.000], [0.667, 0.667, 0.333], [0.335, 0.835, 0.669], [0.000, 0.000, 0.000]]}

{"formula": "Cs3FeP", "functional": "PBE-GGA", "state": "relaxed", "dos_ef_per_ev_cell": 9.53, "energy_ev_per_atom": -2.16, "lattice": [[-3.138, 3.115, -3.598], [-0.997, -4.644, -3.151], [-4.653, -1.105, 3.101]], "species": ["Cs", "Cs", "Cs", "P", "Fe"], "fractional_positions": [[0.000, 0.500, 0.000], [0.000, 0.000, 0.500], [0.500, 0.000, 0.000], [0.500, 0.500, 0.500], [0.000, 0.000, 0.000]]}

{"formula": "Dy2GaPt", "functional": "PBE-GGA", "state": "relaxed", "dos_ef_per_ev_cell": 3.52, "energy_ev_per_atom": -5.30, "lattice": [[-3.445, -0.995, -1.474], [-0.231, -2.811, -2.660], [-2.115, -6.509, 4.237]], "species": ["Ga", "Pt", "Dy", "Dy"], "fractional_positions": [[0.500, 0.500, 0.500], [0.000, 0.000, 0.000], [0.258, 0.258, 0.225], [0.742, 0.742, 0.775]]}

{"formula": "Ba3Sr5Ca2", "functional": "PBE-GGA", "state": "relaxed", "de_polymorph_mev_per_atom": 61, "dos_ef_per_ev_cell": 31.13, "lattice": [[-3.375, -11.345, 6.381], [10.012, -4.711, -3.080], [0.070, 10.817, 5.100]], "species": ["Ba", "Ba", "Ba", "Ba", "Ba", "Ba", "Sr", "Sr", "Sr", "Sr", "Sr", "Sr", "Sr", "Sr", "Sr", "Sr", "Ca", "Ca", "Ca", "Ca"], "fractional_positions": [[0.250, 0.000, 0.000], [0.750, 0.000, 0.000], [0.626, 0.385, 0.252], [0.374, 0.615, 0.748], [0.126, 0.867, 0.252], [0.874, 0.133, 0.748], [0.250, 0.500, 0.000], [0.750, 0.500, 0.000], [0.000, 0.750, 0.501], [0.500, 0.250, 0.499], [0.000, 0.250, 0.499], [0.500, 0.750, 0.501], [0.874, 0.477, 0.747], [0.126, 0.523, 0.253], [0.374, 0.270, 0.747], [0.626, 0.730, 0.253], [0.874, 0.802, 0.747], [0.126, 0.198, 0.253], [0.374, 0.945, 0.747], [0.626, 0.055, 0.253]]}

{"formula": "LaCd2Rh", "functional": "PBE-GGA", "state": "relaxed", "dos_ef_per_ev_cell": 1.19, "energy_ev_per_atom": -3.85, "lattice": [[-1.287, 3.902, -0.163], [-1.456, -0.320, 3.832], [4.818, 1.672, 1.969]], "species": ["La", "Cd", "Cd", "Rh"], "fractional_positions": [[0.500, 0.500, 0.500], [0.000, 0.500, 0.000], [0.500, 0.000, 0.000], [0.000, 0.000, 0.500]]}

{"formula": "Na2Sr2In", "functional": "PBE-GGA", "state": "relaxed", "de_polymorph_mev_per_atom": 259, "dos_ef_per_ev_cell": 6.06, "lattice": [[-6.541, -5.875, 2.299], [4.956, -6.834, -3.366], [2.297, -0.688, 4.777]], "species": ["Sr", "Sr", "Sr", "Sr", "Na", "Na", "Na", "Na", "In", "In"], "fractional_positions": [[0.339, 0.839, 0.000], [0.839, 0.661, 0.000], [0.661, 0.161, 0.000], [0.161, 0.339, 0.000], [0.145, 0.645, 0.500], [0.645, 0.855, 0.500], [0.855, 0.355, 0.500], [0.355, 0.145, 0.500], [0.000, 0.000, 0.000], [0.500, 0.500, 0.000]]}

{"formula": "NpAg3I8", "functional": "PBE-GGA", "state": "relaxed", "dos_ef_per_ev_cell": 10.80, "e_form_raw_ev_per_atom": -0.4156, "lattice": [[-8.418, 2.392, 0.844], [3.548, -0.851, -7.995], [-1.551, -7.184, 4.887]], "species": ["Np", "Ag", "Ag", "Ag", "I", "I", "I", "I", "I", "I", "I", "I"], "fractional_positions": [[0.000, 0.000, 0.000], [0.500, 0.000, 0.000], [0.500, 0.500, 0.000], [0.000, 0.500, 0.000], [0.272, 0.543, 0.814], [0.728, 0.457, 0.186], [0.229, 0.992, 0.752], [0.762, 0.992, 0.752], [0.762, 0.524, 0.752], [0.238, 0.476, 0.248], [0.238, 0.008, 0.248], [0.771, 0.008, 0.248]]}

{"formula": "PuU5C6", "functional": "PBE-GGA", "state": "relaxed", "dos_ef_per_ev_cell": 18.23, "energy_ev_per_atom": -10.62, "lattice": [[5.983, 0.141, 0.906], [1.462, 5.097, 2.969], [0.099, 0.076, 6.040]], "species": ["C", "C", "C", "C", "C", "C", "U", "U", "U", "U", "U", "Pu"], "fractional_positions": [[0.735, 0.089, 0.349], [0.265, 0.562, 0.349], [0.250, 0.270, 0.000], [0.750, 0.730, 0.000], [0.735, 0.438, 0.651], [0.265, 0.911, 0.651], [0.500, 0.162, 0.676], [0.000, 0.331, 0.338], [0.500, 0.500, 0.000], [0.000, 0.669, 0.662], [0.500, 0.838, 0.324], [0.000, 0.000, 0.000]]}

{"formula": "MgSnRh", "functional": "PBE-GGA", "state": "relaxed", "dos_ef_per_ev_cell": 1.24, "energy_ev_per_atom": -4.68, "lattice": [[-2.704, 1.425, -0.821], [-2.121, -2.019, 3.480], [1.964, 4.061, 0.581]], "species": ["Mg", "Rh", "Sn"], "fractional_positions": [[0.666, 0.667, 0.333], [0.167, 0.333, 0.667], [0.167, 0.000, 0.000]]}

{"formula": "Dy5Mg4Al4", "functional": "PBE-GGA", "state": "relaxed", "dos_ef_per_ev_cell": 9.22, "energy_ev_per_atom": -3.65, "lattice": [[-1.161, -2.020, 3.874], [1.993, -8.432, -1.162], [7.165, 0.399, 4.993]], "species": ["Dy", "Dy", "Dy", "Dy", "Dy", "Mg", "Mg", "Mg", "Mg", "Al", "Al", "Al", "Al"], "fractional_positions": [[0.697, 0.927, 0.679], [0.303, 0.073, 0.321], [0.000, 0.000, 0.000], [0.624, 0.679, 0.073], [0.376, 0.321, 0.927], [0.892, 0.522, 0.693], [0.585, 0.307, 0.522], [0.108, 0.478, 0.307], [0.415, 0.693, 0.478], [0.751, 0.315, 0.184], [0.249, 0.685, 0.816], [0.935, 0.816, 0.315], [0.065, 0.184, 0.685]]}